(1)
## Pm2Ga3Ni (PBE)

Data for a relaxed structure of Pm2Ga3Ni.

Calculated values
Theoretical density (Mg/m³): 7.5
N(E_F) (states/eV per cell): 7.2
Electronic total energy (Ha/atom): -0.172
Energy relative to the lowest polymorph listed for this composition (eV/atom): 0.0026

a = 10.417 Å, b = 4.442 Å, c = 7.361 Å
α = 90.00°, β = 133.67°, γ = 90.00°
Space group Cm (No. 8)
Asymmetric unit:
Pm (0.000, 0.000, 0.000) (multiplicity 2)
Pm (0.090, 0.000, 0.591) (multiplicity 2)
Ga (0.188, 0.500, 0.979) (multiplicity 2)
Ga (0.217, 0.500, 0.410) (multiplicity 2)
Ga (0.378, 0.000, 0.200) (multiplicity 2)
Ni (0.373, 0.000, 0.565) (multiplicity 2)

---

(2)
## CsCeScF6 (PBE)

Data for a relaxed structure of CsCeScF6.

Calculated values
Theoretical density (Mg/m³): 4.1
N(E_F) (states/eV per cell): 28.9
Formation energy without anion corrections (eV per formula unit): -31.86
Electronic total energy (Ha/atom): -0.230

a = 7.693 Å, b = 8.102 Å, c = 11.211 Å
α = 90.00°, β = 90.00°, γ = 90.00°
Space group Imma (No. 74)
Asymmetric unit:
Cs (0.000, 0.250, 0.145) (multiplicity 4)
Ce (0.250, 0.250, 0.750) (multiplicity 4)
Sc (0.000, 0.000, 0.500) (multiplicity 4)
F (0.000, 0.250, 0.452) (multiplicity 4)
F (0.000, 0.250, 0.875) (multiplicity 4)
F (0.198, 0.014, 0.625) (multiplicity 16)

---

(3)
## RbPu2UO8 (PBE)

Data for a relaxed structure of RbPu2UO8.

Calculated values
Theoretical density (Mg/m³): 7.6
N(E_F) (states/eV per cell): 9.9
Formation energy without anion corrections (eV per formula unit): -32.87
Electronic total energy (Ha/atom): -0.347

a = 5.339 Å, b = 5.345 Å, c = 7.199 Å
α = 87.66°, β = 87.63°, γ = 87.27°
Space group P-1 (No. 2)
Asymmetric unit:
Rb (0.000, 0.000, 0.000) (multiplicity 1)
Pu (0.491, 0.491, 0.254) (multiplicity 2)
U (0.000, 0.000, 0.500) (multiplicity 1)
O (0.188, 0.799, 0.693) (multiplicity 2)
O (0.202, 0.813, 0.307) (multiplicity 2)
O (0.319, 0.320, 0.483) (multiplicity 2)
O (0.345, 0.347, 0.966) (multiplicity 2)

---

(4)
## EuGdMgCd (PBE)

Data for a relaxed structure of EuGdMgCd.

Calculated values
Theoretical density (Mg/m³): 6.4
N(E_F) (states/eV per cell): 37.9
Electronic total energy (Ha/atom): -0.254

a = 7.741 Å, b = 7.741 Å, c = 7.741 Å
α = 90.00°, β = 90.00°, γ = 90.00°
Space group F-43m (No. 216)
Asymmetric unit:
Eu (0.000, 0.000, 0.000) (multiplicity 4)
Gd (0.000, 0.000, 0.500) (multiplicity 4)
Mg (0.250, 0.250, 0.750) (multiplicity 4)
Cd (0.250, 0.250, 0.250) (multiplicity 4)

---

(5)
## AlPIO2 (PBE)

Data for a relaxed structure of AlPIO2.

Calculated values
Theoretical density (Mg/m³): 4.5
N(E_F) (states/eV per cell): 2.0
Formation energy without anion corrections (eV per formula unit): -0.22
Electronic total energy (Ha/atom): -0.153
Energy relative to the lowest polymorph listed for this composition (eV/atom): 0.6008

a = 3.844 Å, b = 3.844 Å, c = 5.456 Å
α = 90.00°, β = 90.00°, γ = 90.00°
Space group P4/mmm (No. 123)
Asymmetric unit:
Al (0.000, 0.000, 0.000) (multiplicity 1)
P (0.500, 0.500, 0.500) (multiplicity 1)
I (0.500, 0.500, 0.000) (multiplicity 1)
O (0.000, 0.500, 0.500) (multiplicity 2)

---

(6)
## CsBaBr3 (PBE)

Data for a relaxed structure of CsBaBr3.

Calculated values
Theoretical density (Mg/m³): 3.9
N(E_F) (states/eV per cell): 0.0
Formation energy without anion corrections (eV per formula unit): -10.22
Electronic total energy (Ha/atom): -0.132

a = 8.732 Å, b = 5.039 Å, c = 19.690 Å
α = 90.00°, β = 90.00°, γ = 90.00°
Space group Pnma (No. 62)
Asymmetric unit:
Cs (0.146, 0.250, 0.200) (multiplicity 4)
Ba (0.239, 0.750, 0.457) (multiplicity 4)
Br (0.015, 0.250, 0.412) (multiplicity 4)
Br (0.131, 0.750, 0.051) (multiplicity 4)
Br (0.163, 0.250, 0.800) (multiplicity 4)